1.
{"formula": "ErPd4", "functional": "PBE-GGA", "state": "optimized geometry", "m_tot_mub_per_fu": 0.00, "dos_at_fermi_per_ev_atom": 0.739, "vol_a3_per_cell": 183.9, "delta_e_f_ev_per_atom": -0.488, "lattice": [[8.063, 0.000, 0.000], [0.000, 5.512, 0.000], [-1.944, 0.000, 4.138]], "species": ["Er", "Er", "Pd", "Pd", "Pd", "Pd", "Pd", "Pd", "Pd", "Pd"], "frac_coords": [[0.000, 0.000, 0.000], [0.500, 0.500, 0.000], [0.105, 0.500, 0.848], [0.250, 0.250, 0.500], [0.250, 0.750, 0.500], [0.395, 0.000, 0.152], [0.605, 0.000, 0.848], [0.750, 0.250, 0.500], [0.750, 0.750, 0.500], [0.895, 0.500, 0.152]]}

=====

2.
{"formula": "Er3Pd5", "functional": "PBE-GGA", "state": "optimized geometry", "m_tot_mub_per_fu": 0.00, "dos_at_fermi_per_ev_atom": 0.440, "vol_a3_per_cell": 309.8, "delta_e_f_ev_per_atom": -0.903, "lattice": [[7.134, 0.000, 0.000], [0.000, 9.100, 0.000], [0.000, 0.000, 4.773]], "species": ["Er", "Er", "Er", "Er", "Er", "Er", "Pd", "Pd", "Pd", "Pd", "Pd", "Pd", "Pd", "Pd", "Pd", "Pd"], "frac_coords": [[0.000, 0.000, 0.000], [0.000, 0.295, 0.500], [0.000, 0.705, 0.500], [0.500, 0.205, 0.500], [0.500, 0.500, 0.000], [0.500, 0.795, 0.500], [0.000, 0.500, 0.000], [0.207, 0.000, 0.500], [0.250, 0.250, 0.000], [0.250, 0.750, 0.000], [0.293, 0.500, 0.500], [0.500, 0.000, 0.000], [0.707, 0.500, 0.500], [0.750, 0.250, 0.000], [0.750, 0.750, 0.000], [0.793, 0.000, 0.500]]}

=====

3.
{"formula": "ErPd4", "functional": "PBE-GGA", "state": "optimized geometry", "m_tot_mub_per_fu": 0.00, "dos_at_fermi_per_ev_atom": 0.792, "vol_a3_per_cell": 171.8, "delta_e_f_ev_per_atom": -0.685, "lattice": [[-2.182, 2.844, 6.923], [2.182, -2.844, 6.923], [2.182, 2.844, -6.923]], "species": ["Er", "Er", "Pd", "Pd", "Pd", "Pd", "Pd", "Pd", "Pd", "Pd"], "frac_coords": [[0.356, 0.106, 0.250], [0.644, 0.894, 0.750], [0.000, 0.500, 0.500], [0.142, 0.892, 0.250], [0.187, 0.696, 0.491], [0.296, 0.304, 0.991], [0.500, 0.500, 0.000], [0.704, 0.696, 0.009], [0.813, 0.304, 0.509], [0.858, 0.108, 0.750]]}

=====

4.
{"formula": "ErPd", "functional": "PBE-GGA", "state": "optimized geometry", "m_tot_mub_per_fu": 0.00, "dos_at_fermi_per_ev_atom": 0.914, "vol_a3_per_cell": 42.2, "delta_e_f_ev_per_atom": -0.910, "lattice": [[3.482, 0.000, 0.000], [0.000, 3.482, 0.000], [0.000, 0.000, 3.482]], "species": ["Er", "Pd"], "frac_coords": [[0.000, 0.000, 0.000], [0.500, 0.500, 0.500]]}

=====

5.
{"formula": "Er3Pd7", "functional": "PBE-GGA", "state": "optimized geometry", "m_tot_mub_per_fu": 0.00, "dos_at_fermi_per_ev_atom": 0.300, "vol_a3_per_cell": 180.1, "delta_e_f_ev_per_atom": -0.921, "lattice": [[7.628, -2.100, 0.000], [7.628, 2.100, 0.000], [-1.451, 0.000, 5.620]], "species": ["Er", "Er", "Er", "Pd", "Pd", "Pd", "Pd", "Pd", "Pd", "Pd"], "frac_coords": [[0.000, 0.000, 0.000], [0.188, 0.188, 0.632], [0.812, 0.812, 0.368], [0.000, 0.000, 0.500], [0.200, 0.200, 0.125], [0.399, 0.399, 0.683], [0.402, 0.402, 0.185], [0.598, 0.598, 0.815], [0.601, 0.601, 0.317], [0.800, 0.800, 0.875]]}

=====

6.
{"formula": "PmEr4Pd5", "functional": "PBE-GGA", "state": "optimized geometry", "m_tot_mub_per_fu": 0.00, "dos_at_fermi_per_ev_atom": 0.793, "vol_a3_per_cell": 214.4, "delta_e_f_ev_per_atom": -0.886, "lattice": [[3.462, 0.000, 0.000], [0.000, 3.462, 0.000], [0.000, 0.000, 17.888]], "species": ["Pm", "Er", "Er", "Er", "Er", "Pd", "Pd", "Pd", "Pd", "Pd"], "frac_coords": [[0.000, 0.000, 0.000], [0.000, 0.000, 0.205], [0.000, 0.000, 0.402], [0.000, 0.000, 0.598], [0.000, 0.000, 0.795], [0.500, 0.500, 0.111], [0.500, 0.500, 0.303], [0.500, 0.500, 0.500], [0.500, 0.500, 0.697], [0.500, 0.500, 0.889]]}

=====

7.
{"formula": "PmErPd2", "functional": "PBE-GGA", "state": "optimized geometry", "m_tot_mub_per_fu": 0.00, "dos_at_fermi_per_ev_atom": 0.797, "vol_a3_per_cell": 88.3, "delta_e_f_ev_per_atom": -0.836, "de_polymorph_mev_per_atom": 43, "lattice": [[3.474, 0.000, 0.000], [0.000, 3.474, 0.000], [0.000, 0.000, 7.319]], "species": ["Pm", "Er", "Pd", "Pd"], "frac_coords": [[0.000, 0.000, 0.000], [0.000, 0.000, 0.500], [0.500, 0.500, 0.270], [0.500, 0.500, 0.730]]}

=====

8.
{"formula": "PmEr2Pd", "functional": "PBE-GGA", "state": "optimized geometry", "m_tot_mub_per_fu": 0.00, "dos_at_fermi_per_ev_atom": 1.081, "vol_a3_per_cell": 216.9, "delta_e_f_ev_per_atom": -0.454, "de_polymorph_mev_per_atom": 14, "lattice": [[3.748, 0.000, 0.000], [0.000, 9.206, 0.000], [-1.866, 0.000, 6.286]], "species": ["Pm", "Pm", "Er", "Er", "Er", "Er", "Pd", "Pd"], "frac_coords": [[0.057, 0.250, 0.116], [0.943, 0.750, 0.884], [0.363, 0.059, 0.725], [0.363, 0.441, 0.725], [0.637, 0.559, 0.275], [0.637, 0.941, 0.275], [0.238, 0.750, 0.477], [0.762, 0.250, 0.523]]}

=====

9.
{"formula": "Pm2ErPd2", "functional": "PBE-GGA", "state": "optimized geometry", "m_tot_mub_per_fu": 0.00, "dos_at_fermi_per_ev_atom": 0.762, "vol_a3_per_cell": 256.8, "delta_e_f_ev_per_atom": -0.689, "de_polymorph_mev_per_atom": 0, "lattice": [[6.511, -1.981, 0.000], [6.511, 1.981, 0.000], [-5.531, 0.000, 9.956]], "species": ["Pm", "Pm", "Pm", "Pm", "Er", "Er", "Pd", "Pd", "Pd", "Pd"], "frac_coords": [[0.047, 0.047, 0.197], [0.171, 0.171, 0.577], [0.829, 0.829, 0.423], [0.953, 0.953, 0.803], [0.297, 0.297, 0.143], [0.703, 0.703, 0.857], [0.377, 0.377, 0.947], [0.484, 0.484, 0.618], [0.516, 0.516, 0.382], [0.623, 0.623, 0.053]]}

=====

10.
{"formula": "Pm2ErPd", "functional": "PBE-GGA", "state": "optimized geometry", "m_tot_mub_per_fu": 0.00, "dos_at_fermi_per_ev_atom": 1.285, "vol_a3_per_cell": 112.9, "delta_e_f_ev_per_atom": -0.333, "de_polymorph_mev_per_atom": 100, "lattice": [[3.675, 0.000, 0.000], [0.000, 3.675, 0.000], [0.000, 0.000, 8.357]], "species": ["Pm", "Pm", "Er", "Pd"], "frac_coords": [[0.000, 0.000, 0.205], [0.000, 0.000, 0.795], [0.500, 0.500, 0.500], [0.500, 0.500, 0.000]]}

=====

11.
{"formula": "Pm2ErPd", "functional": "PBE-GGA", "state": "optimized geometry", "m_tot_mub_per_fu": 0.00, "dos_at_fermi_per_ev_atom": 1.174, "vol_a3_per_cell": 489.2, "delta_e_f_ev_per_atom": -0.276, "de_polymorph_mev_per_atom": 158, "lattice": [[6.551, 0.000, 0.000], [0.000, 6.705, 0.000], [0.000, 0.000, 11.139]], "species": ["Pm", "Pm", "Pm", "Pm", "Pm", "Pm", "Pm", "Pm", "Er", "Er", "Er", "Er", "Pd", "Pd", "Pd", "Pd"], "frac_coords": [[0.080, 0.217, 0.087], [0.080, 0.283, 0.413], [0.420, 0.717, 0.413], [0.420, 0.783, 0.087], [0.580, 0.217, 0.913], [0.580, 0.283, 0.587], [0.920, 0.717, 0.587], [0.920, 0.783, 0.913], [0.055, 0.250, 0.750], [0.445, 0.750, 0.750], [0.555, 0.250, 0.250], [0.945, 0.750, 0.250], [0.250, 0.000, 0.590], [0.250, 0.500, 0.910], [0.750, 0.000, 0.410], [0.750, 0.500, 0.090]]}

=====

12.
{"formula": "Pm3ErPd3", "functional": "PBE-GGA", "state": "optimized geometry", "m_tot_mub_per_fu": 0.00, "dos_at_fermi_per_ev_atom": 0.812, "vol_a3_per_cell": 359.6, "delta_e_f_ev_per_atom": -0.642, "lattice": [[4.684, -5.317, 0.000], [4.684, 5.317, 0.000], [-0.250, 0.000, 7.218]], "species": ["Pm", "Pm", "Pm", "Pm", "Pm", "Pm", "Er", "Er", "Pd", "Pd", "Pd", "Pd", "Pd", "Pd"], "frac_coords": [[0.175, 0.825, 0.000], [0.254, 0.746, 0.500], [0.347, 0.347, 0.130], [0.653, 0.653, 0.870], [0.746, 0.254, 0.500], [0.825, 0.175, 0.000], [0.255, 0.255, 0.625], [0.745, 0.745, 0.375], [0.025, 0.498, 0.783], [0.063, 0.063, 0.313], [0.498, 0.025, 0.783], [0.502, 0.975, 0.217], [0.937, 0.937, 0.687], [0.975, 0.502, 0.217]]}